--- w ---
# ZnCoPd3

A geometry-optimized ZnCoPd3 structure (PBE, Alexandria).

a b c (Å): 4.5750 4.5750 4.5750
angles (deg): 90.00 90.00 90.00
Closest atoms and distances in Å follow each position.
Space group Pm-3m (No. 221)
Symmetry-distinct sites (fractional):
Zn1 0.0000 0.0000 0.0000 [1 per cell]  6 Pd 2.29
Co1 0.5000 0.5000 0.5000 [1 per cell]  12 Pd 3.24
Pd1 0.0000 0.0000 0.5000 [3 per cell]  2 Zn 2.29

Values from the calculation:
Crystal system   cubic
Total magnetic moment   2.65 Bohr magnetons per cell

---

--- x ---
# ZnCoPd3

A geometry-optimized ZnCoPd3 structure (PBE, Alexandria).

a b c (Å): 4.5687 4.5687 4.5687
angles (deg): 90.00 90.00 90.00
Closest atoms and distances in Å follow each position.
Space group Pm-3m (No. 221)
Symmetry-distinct sites (fractional):
Zn1 0.0000 0.0000 0.0000 [1 per cell]  12 Pd 3.23
Co1 0.5000 0.5000 0.5000 [1 per cell]  6 Pd 2.28
Pd1 0.0000 0.5000 0.5000 [3 per cell]  2 Co 2.28

Values from the calculation:
Crystal system   cubic
Total magnetic moment   2.96 Bohr magnetons per cell

---

So which one wins? Going from most stable to least: x, w.